1.
First-principles (GGA-PBE) data for an optimized crystal structure of HfCdO2, as listed in Alexandria via LeMat-Bulk.

a b c (Å): 3.1894 3.1894 22.7966
angles (deg): 90.00 90.00 120.00
Closest atoms and distances in Å follow each position.
Space group R-3m (No. 166, hexagonal axes)
One atom of each set of equivalent atoms:
Hf  0.0000  0.0000  0.0000  6 O 2.10
Cd  0.0000  0.0000  0.5000  2 O 2.80
O  0.0000  0.0000  0.3772  3 Hf 2.10

- M_tot (μB per cell) = 0.00
- electronic total energy (eV per atom) = -7.57
- raw formation energy (eV per atom) = -2.376

=====

2.
First-principles (GGA-PBE) data for an optimized crystal structure of AgH2Pd4, as listed in Alexandria via LeMat-Bulk.

a b c (Å): 2.8862 9.6266 12.5856
angles (deg): 93.33 96.57 98.51
Closest atoms and distances in Å follow each position.
Space group P1 (No. 1)
One atom of each set of equivalent atoms:
Ag  0.0000  0.0000  0.0000  10 Pd 2.86-2.92, 2 Ag 2.89, 1 H 3.06
Ag  0.0008  0.7440  0.2501  10 Pd 2.85-2.91, 2 Ag 2.89
Ag  0.1371  0.5001  0.7668  10 Pd 2.87-2.92, 2 Ag 2.89, 1 H 3.03
Ag  0.8720  0.2500  0.4881  1 H 2.45
H  0.0662  0.6100  0.5161  6 Pd 1.94-2.12
H  0.1866  0.3445  0.0263  3 Pd 1.89-1.93
H  0.3041  0.8192  0.7818  4 Pd 1.79-1.83
H  0.3677  0.4335  0.2924  4 Pd 1.77-1.83
H  0.7025  0.9319  0.4691  4 Pd 1.78-1.84
H  0.7148  0.1176  0.3126  3 Pd 1.80-1.93
H  0.8320  0.6776  0.9823  4 Pd 1.77-1.84
H  0.9450  0.1415  0.7398  6 Pd 1.94-2.12
Pd  0.0686  0.2507  0.8838  2 H 1.93-2.01
Pd  0.1977  0.9976  0.3961  2 H 1.84
Pd  0.2010  0.7494  0.6450  1 H 1.79
Pd  0.2627  0.2406  0.2805  3 H 1.83-1.93
Pd  0.3327  0.4973  0.1629  1 H 1.77
Pd  0.4050  0.7509  0.0538  2 H 1.81
Pd  0.4058  0.0081  0.8014  1 H 1.80
Pd  0.4731  0.2531  0.6864  2 H 1.94
Pd  0.5367  0.4975  0.5684  2 H 1.94
Pd  0.5961  0.9929  0.1969  1 H 1.80
Pd  0.5983  0.7418  0.4495  1 H 1.81
Pd  0.6662  0.2465  0.0835  2 H 1.89
Pd  0.7313  0.4909  0.9665  1 H 1.77
Pd  0.8040  0.7489  0.8499  3 H 1.83-1.84
Pd  0.8047  0.0014  0.6052  1 H 1.78
Pd  0.9377  0.4968  0.3702  2 H 1.82

- M_tot (μB per cell) = 0.00
- electronic total energy (eV per atom) = -4.41

=====

3.
First-principles (GGA-PBE) data for an optimized crystal structure of Sc2PtBr, as listed in Alexandria via LeMat-Bulk.

a b c (Å): 3.8441 3.8441 11.1254
angles (deg): 90.00 90.00 90.00
Closest atoms and distances in Å follow each position.
Space group I-4m2 (No. 119)
One atom of each set of equivalent atoms:
Sc  0.0000  0.0000  0.0000  4 Pt 2.72
Sc  0.0000  0.5000  0.2500  4 Br 2.72
Pt  0.0000  0.0000  0.5000  4 Sc 2.72
Br  0.0000  0.5000  0.7500  4 Sc 2.72

- M_tot (μB per cell) = 0.00
- electronic total energy (eV per atom) = -5.74
- raw formation energy (eV per atom) = -0.649

=====

4.
First-principles (GGA-PBE) data for an optimized crystal structure of Be9Nb2W, as listed in Alexandria via LeMat-Bulk.

a b c (Å): 4.5043 4.5043 14.0220
angles (deg): 90.00 90.00 120.00
Closest atoms and distances in Å follow each position.
Space group P6_3/mmc (No. 194)
One atom of each set of equivalent atoms:
Be  0.0000  0.0000  0.0000  6 Be 2.25
Be  0.0000  0.0000  0.2500  6 Be 2.13
Be  0.1685  0.3369  0.1307  7 Be 2.11-2.28
Be  0.3333  0.6667  0.2500  6 Be 2.11
Nb  0.3333  0.6667  0.5389  12 Be 2.59-2.70, 3 Nb 2.82
W  0.3333  0.6667  0.7500  18 Be 2.60-2.81

- M_tot (μB per cell) = 0.00
- electronic total energy (eV per atom) = -5.75